# MgMnAs2

A geometry-optimized MgMnAs2 structure (PBE, the Alexandria database).

## Properties
ρ: 5.31 Mg/m³
raw total energy: -5.079 eV/atom

Lattice parameters (Å, degrees): 3.1989 3.1989 7.1722 90.00 90.00 102.36
Sites, in units of the cell vectors:
Mg 0.0000 0.0000 0.0000
Mn 0.0000 0.0000 0.5000
As 0.5000 0.5000 0.2745
As 0.5000 0.5000 0.7255